Material: CaZn2Au
Method: DFT, GGA-PBEsol
State: optimized geometry

Theoretical density   8119 kg/m3
Crystal system   tetragonal
Size of the total moment   0.00 μB/f.u.
Energy relative to the elements   -0.295 eV per atom
Final energy   -10.40 eV per formula unit

Cell: 3.346 3.346 6.720 Å, 90.00 90.00 90.00°
Space group P4mm (No. 99)
Asymmetric unit:
Ca  0.000  0.000  0.000 x1
Zn  0.000  0.000  0.506 x1
Zn  0.500  0.500  0.308 x1
Au  0.500  0.500  0.712 x1